1.
## ScAu3O (PBE-GGA)

Data for a geometry-optimized ScAu3O structure.

a b c (Å): 4.521 4.521 4.521
angles (deg): 90.00 90.00 90.00
Atoms (fractional coordinates):
Au 0.000 0.500 0.000
Au 0.500 0.000 0.000
Au 0.000 0.000 0.500
Sc 0.500 0.500 0.500
O 0.000 0.000 0.000

Computed properties:
Space group: Pm-3m (221)



2.
## ScAu3O (PBE-GGA)

Data for a geometry-optimized ScAu3O structure.

a b c (Å): 5.158 5.158 5.158
angles (deg): 90.00 90.00 90.00
Atoms (fractional coordinates):
O 0.500 0.500 0.500
Au 0.500 0.000 0.000
Au 0.000 0.500 0.000
Au 0.000 0.000 0.500
Sc 0.000 0.000 0.000

Computed properties:
Space group: Pm-3m (221)



It turns out 1 is the most stable, with the second structure 971 meV per atom higher.



1.
## Y2ScAuO (PBE-GGA)

Data for a geometry-optimized Y2ScAuO structure.

a b c (Å): 4.778 4.778 4.332
angles (deg): 90.00 90.00 90.00
Atoms (fractional coordinates):
O 0.000 0.000 0.000
Y 0.500 0.000 0.000
Y 0.000 0.500 0.000
Sc 0.000 0.000 0.500
Au 0.500 0.500 0.500

Computed properties:
Space group: P4/mmm (123)



2.
## Y2ScAuO (PBE-GGA)

Data for a geometry-optimized Y2ScAuO structure.

a b c (Å): 5.723 3.862 5.723
angles (deg): 90.00 90.00 90.00
Atoms (fractional coordinates):
Au 0.500 0.500 0.500
Sc 0.000 0.000 0.000
Y 0.000 0.000 0.500
Y 0.500 0.000 0.000
O 0.000 0.500 0.000

Computed properties:
Space group: P4/mmm (123)



It turns out 1 is the most stable, with the second structure 1092 meV per atom higher.



1.
## Au3SeO (PBE-GGA)

Data for a geometry-optimized Au3SeO structure.

a b c (Å): 4.530 4.530 4.530
angles (deg): 90.00 90.00 90.00
Atoms (fractional coordinates):
Au 0.500 0.000 0.000
Au 0.000 0.000 0.500
Au 0.000 0.500 0.000
Se 0.500 0.500 0.500
O 0.000 0.000 0.000

Computed properties:
Space group: Pm-3m (221)



2.
## Au3SeO (PBE-GGA)

Data for a geometry-optimized Au3SeO structure.

a b c (Å): 4.929 4.929 4.929
angles (deg): 90.00 90.00 90.00
Atoms (fractional coordinates):
O 0.500 0.500 0.500
Au 0.000 0.000 0.500
Au 0.500 0.000 0.000
Au 0.000 0.500 0.000
Se 0.000 0.000 0.000

Computed properties:
Space group: Pm-3m (221)



It turns out 1 is the most stable, with the second structure 433 meV per atom higher.



1.
## Au2Se2O7 (PBE-GGA)

Data for a geometry-optimized Au2Se2O7 structure.

a b c (Å): 4.315 7.256 11.550
angles (deg): 90.00 90.00 90.00
Atoms (fractional coordinates):
Se 0.249 0.102 0.329
Se 0.249 0.398 0.829
Se 0.249 0.898 0.671
Se 0.249 0.602 0.171
O 0.568 0.837 0.585
O 0.568 0.163 0.415
O 0.568 0.663 0.085
O 0.166 0.120 0.624
O 0.472 0.036 0.208
O 0.166 0.880 0.376
O 0.472 0.964 0.792
O 0.472 0.536 0.292
O 0.774 0.500 0.500
O 0.166 0.380 0.124
O 0.166 0.620 0.876
O 0.774 0.000 0.000
O 0.568 0.337 0.915
O 0.472 0.464 0.708
Au 0.493 0.306 0.563
Au 0.493 0.194 0.063
Au 0.493 0.806 0.937
Au 0.493 0.694 0.437

Computed properties:
Space group: Pba2 (32)



2.
## Au2Se2O7 (PBE-GGA)

Data for a geometry-optimized Au2Se2O7 structure.

a b c (Å): 5.762 6.255 6.255
angles (deg): 100.75 81.18 81.18
Atoms (fractional coordinates):
Au 0.000 0.348 0.652
Au 0.000 0.652 0.348
O 0.500 0.000 0.000
O 0.757 0.890 0.592
O 0.650 0.300 0.300
O 0.350 0.700 0.700
O 0.243 0.110 0.408
O 0.757 0.592 0.890
O 0.243 0.408 0.110
Se 0.592 0.771 0.771
Se 0.408 0.229 0.229

Computed properties:
Space group: C2/m (12)



It turns out 1 is the most stable, with the second structure 218 meV per atom higher.



1.
## Si2Au2O (PBE-GGA)

Data for a geometry-optimized Si2Au2O structure.

a b c (Å): 3.977 3.977 6.148
angles (deg): 71.13 71.13 90.00
Atoms (fractional coordinates):
Si 0.604 0.604 0.792
Si 0.396 0.396 0.208
Au 0.750 0.250 0.500
Au 0.250 0.750 0.500
O 0.000 0.000 0.000

Computed properties:
Space group: I4/mmm (139)



2.
## Si2Au2O (PBE-GGA)

Data for a geometry-optimized Si2Au2O structure.

a b c (Å): 5.547 5.547 5.101
angles (deg): 90.00 90.00 90.00
Atoms (fractional coordinates):
Au 0.815 0.315 0.500
Au 0.185 0.685 0.500
Au 0.685 0.815 0.500
Au 0.315 0.185 0.500
Si 0.318 0.182 0.000
Si 0.818 0.318 0.000
Si 0.682 0.818 0.000
Si 0.182 0.682 0.000
O 0.000 0.000 0.000
O 0.500 0.500 0.000

Computed properties:
Space group: P4/mbm (127)



It turns out 2 is the most stable, with the second structure 519 meV per atom higher.



1.
## Sm3AuO (PBE-GGA)

Data for a geometry-optimized Sm3AuO structure.

a b c (Å): 3.770 6.546 9.724
angles (deg): 90.00 90.00 106.74
Atoms (fractional coordinates):
Sm 0.942 0.884 0.250
Sm 0.628 0.256 0.443
Sm 0.628 0.256 0.057
Sm 0.058 0.116 0.750
Sm 0.372 0.744 0.557
Sm 0.372 0.744 0.943
O 0.000 0.000 0.500
O 0.000 0.000 0.000
Au 0.754 0.507 0.750
Au 0.246 0.493 0.250

Computed properties:
Space group: Cmcm (63)



2.
## Sm3AuO (PBE-GGA)

Data for a geometry-optimized Sm3AuO structure.

a b c (Å): 3.833 8.014 8.018
angles (deg): 71.95 90.00 90.00
Atoms (fractional coordinates):
Au 0.863 0.194 0.247
Au 0.363 0.694 0.746
Sm 0.863 0.637 0.067
Sm 0.863 0.014 0.689
Sm 0.363 0.378 0.430
Sm 0.863 0.374 0.804
Sm 0.863 0.752 0.426
Sm 0.363 0.010 0.062
O 0.363 0.194 0.746
O 0.363 0.694 0.246

Computed properties:
Space group: Cmmm (65)



It turns out 1 is the most stable, with the second structure 93 meV per atom higher.